# LiWO6

An optimized crystal structure of LiWO6 (GGA+U, Alexandria).

a = 5.6092 Å, b = 5.6092 Å, c = 5.6092 Å
α = 60.00°, β = 60.00°, γ = 60.00°
Element x y z (fractional)
Li (0.0000, 0.0000, 0.0000)
W (0.5000, 0.5000, 0.5000)
O (0.2561, 0.2561, 0.7439)
O (0.2561, 0.7439, 0.2561)
O (0.2561, 0.7439, 0.7439)
O (0.7439, 0.2561, 0.2561)
O (0.7439, 0.2561, 0.7439)
O (0.7439, 0.7439, 0.2561)

The total energy comes out at -5.48 eV/atom. The density of states at the Fermi level is 7.483 states/eV/f.u. The space group is Fm-3m (225).